<a>
# PmTm7Sc3 | the Alexandria database | GGA-PBE | optimized geometry
data_PmTm7Sc3
_chemical_formula_sum 'Pm1 Tm7 Sc3'
_cell_length_a 6.5976
_cell_length_b 5.3331
_cell_length_c 9.5416
_cell_angle_alpha 90.00
_cell_angle_beta 103.67
_cell_angle_gamma 90.00
_space_group_name_H-M_alt 'P 1 2/m 1'
_space_group_IT_number 10
loop_
_space_group_symop_operation_xyz
'x,y,z'
'-x,-y,-z'
'-x,y,-z'
'x,-y,z'
loop_
_atom_site_label
_atom_site_fract_x
_atom_site_fract_y
_atom_site_fract_z
Pm1 0.0000 0.0000 0.0000
Tm1 0.0000 0.0000 0.5000
Tm2 0.1599 0.5000 0.7776
Tm3 0.3201 0.5000 0.1296
Tm4 0.4638 0.0000 0.3303
Sc1 0.2716 0.5000 0.4759
Sc2 0.5000 0.0000 0.0000
# Theoretical density (g cm⁻³): 7.44

<b>
# PmTm7Sc3 | the Alexandria database | GGA-PBE | optimized geometry
data_PmTm7Sc3
_chemical_formula_sum 'Pm1 Tm7 Sc3'
_cell_length_a 6.8886
_cell_length_b 6.8886
_cell_length_c 8.2019
_cell_angle_alpha 90.00
_cell_angle_beta 90.00
_cell_angle_gamma 120.00
_space_group_name_H-M_alt 'P 3 m 1'
_space_group_IT_number 156
loop_
_space_group_symop_operation_xyz
'x,y,z'
'-y,x-y,z'
'-x+y,-x,z'
'-y,-x,z'
'-x+y,y,z'
'x,x-y,z'
loop_
_atom_site_label
_atom_site_fract_x
_atom_site_fract_y
_atom_site_fract_z
Pm1 0.0000 0.0000 0.0000
Tm1 0.0028 0.5014 0.9925
Tm2 0.3309 0.1654 0.3420
Tm3 0.3333 0.6667 0.3355
Sc1 0.1678 0.3357 0.6655
# Theoretical density (g cm⁻³): 7.20

Energies relative to the most stable structure are <a> 0.0; <b> 7.7, reported in kJ/mol of atoms.